The following is a DFT calculation (PBE-GGA) of a relaxed structure of Ac2AgSb4.

## Properties
The uncorrected formation energy comes out at -695 meV/atom. Its total DFT energy (no corrections) is -4.632 eV per atom. Its total magnetic moment is 0.0000 μB per atom.

Geometry as extended XYZ:
```
7
Lattice="-0.281 4.573 0.623 -2.659 -0.670 3.723 8.476 -0.298 5.999" Properties=species:S:1:pos:R:3 pbc="T T T"
Ac 6.279 2.061 4.855
Ac 0.728 -0.407 3.318
Ag -1.470 1.951 2.173
Sb 1.109 2.243 1.196
Sb 5.897 -0.589 6.977
Sb 2.768 1.803 5.173
Sb 4.238 -0.149 3.000
```